Record 1
# PmBi2Au

An optimized crystal structure of PmBi2Au (PBE-GGA, Alexandria via LeMat-Bulk).

a = 4.9182 Å, b = 4.9182 Å, c = 4.4604 Å
α = 90.00°, β = 90.00°, γ = 90.00°
Space group P4/mmm (No. 123)
Asymmetric unit:
Pm1 0.0000 0.0000 0.0000
Bi1 0.0000 0.5000 0.5000
Au1 0.5000 0.5000 0.0000

ΔE_f (eV per atom): -0.50

---

Record 2
# Pm3Bi3Au2

An optimized crystal structure of Pm3Bi3Au2 (PBE-GGA, Alexandria via LeMat-Bulk).

a = 4.5837 Å, b = 4.6188 Å, c = 11.2014 Å
α = 78.18°, β = 80.26°, γ = 89.99°
Space group P-1 (No. 2)
Asymmetric unit:
Pm1 0.0000 0.0000 0.0000
Pm2 0.3672 0.8439 0.3135
Bi1 0.1112 0.6239 0.7509
Bi2 0.5000 0.5000 0.0000
Au1 0.2221 0.2534 0.4947

ΔE_f (eV per atom): -0.67

---

Record 3
# Pm2BiAu

An optimized crystal structure of Pm2BiAu (PBE-GGA, Alexandria via LeMat-Bulk).

a = 7.6383 Å, b = 7.6383 Å, c = 7.6383 Å
α = 90.00°, β = 90.00°, γ = 90.00°
Space group Fm-3m (No. 225)
Asymmetric unit:
Pm1 0.2500 0.2500 0.2500
Bi1 0.0000 0.0000 0.0000
Au1 0.0000 0.0000 0.5000

ΔE_f (eV per atom): -0.69

---

Record 4
# Pm8Bi2Au

An optimized crystal structure of Pm8Bi2Au (PBE-GGA, Alexandria via LeMat-Bulk).

a = 19.4896 Å, b = 4.9676 Å, c = 7.3833 Å
α = 90.00°, β = 97.95°, γ = 90.00°
Space group C2/m (No. 12)
Asymmetric unit:
Pm1 0.0051 0.0000 0.2682
Pm2 0.0938 0.5000 0.0037
Pm3 0.1528 0.5000 0.5395
Pm4 0.2148 0.0000 0.8520
Bi1 0.1807 0.0000 0.2794
Au1 0.0000 0.5000 0.5000

ΔE_f (eV per atom): -0.40

---

Record 5
# Pm2BiAu8

An optimized crystal structure of Pm2BiAu8 (PBE-GGA, Alexandria via LeMat-Bulk).

a = 7.9309 Å, b = 15.1142 Å, c = 5.2947 Å
α = 90.00°, β = 129.15°, γ = 90.00°
Space group C2/m (No. 12)
Asymmetric unit:
Pm1 0.0000 0.1837 0.0000
Bi1 0.0000 0.5000 0.5000
Au1 0.0000 0.2962 0.5000
Au2 0.0381 0.0000 0.7874
Au3 0.2267 0.3676 0.2599

ΔE_f (eV per atom): -0.47

---

Record 6
# Pm2BiAu

An optimized crystal structure of Pm2BiAu (PBE-GGA, Alexandria via LeMat-Bulk).

a = 5.2559 Å, b = 5.2559 Å, c = 4.0504 Å
α = 90.00°, β = 90.00°, γ = 90.00°
Space group P4/mmm (No. 123)
Asymmetric unit:
Pm1 0.0000 0.5000 0.0000
Bi1 0.0000 0.0000 0.5000
Au1 0.5000 0.5000 0.5000

ΔE_f (eV per atom): -0.72

---

Record 7
# PmBi3Au8

An optimized crystal structure of PmBi3Au8 (PBE-GGA, Alexandria via LeMat-Bulk).

a = 5.7046 Å, b = 5.7046 Å, c = 28.2837 Å
α = 90.00°, β = 90.00°, γ = 120.00°
Space group R3m (No. 160, hexagonal axes)
Asymmetric unit:
Pm1 0.0000 0.0000 0.0000
Bi1 0.0000 0.0000 0.1273
Bi2 0.0000 0.0000 0.4996
Bi3 0.0000 0.0000 0.6235
Au1 0.0000 0.0000 0.3133
Au2 0.0000 0.0000 0.8126
Au3 0.0019 0.5009 0.5638
Au4 0.1672 0.3345 0.3951

ΔE_f (eV per atom): -0.24

---

Record 8
# Pm2BiAu16

An optimized crystal structure of Pm2BiAu16 (PBE-GGA, Alexandria via LeMat-Bulk).

a = 9.8193 Å, b = 9.8193 Å, c = 14.2356 Å
α = 90.00°, β = 90.00°, γ = 120.00°
Space group R3m (No. 160, hexagonal axes)
Asymmetric unit:
Pm1 0.0000 0.0000 0.0000
Pm2 0.0000 0.0000 0.3219
Bi1 0.0000 0.0000 0.5719
Au1 0.0000 0.0000 0.7902
Au2 0.0004 0.3242 0.2861
Au3 0.0118 0.5059 0.1243
Au4 0.0124 0.5062 0.7854
Au5 0.1679 0.3358 0.7825

ΔE_f (eV per atom): -0.26

---

Record 9
# PmPrBiAu

An optimized crystal structure of PmPrBiAu (PBE-GGA, Alexandria via LeMat-Bulk).

a = 7.6910 Å, b = 7.6910 Å, c = 7.6910 Å
α = 90.00°, β = 90.00°, γ = 90.00°
Space group F-43m (No. 216)
Asymmetric unit:
Pm1 0.0000 0.0000 0.0000
Pr1 0.0000 0.0000 0.5000
Bi1 0.2500 0.2500 0.7500
Au1 0.2500 0.2500 0.2500

ΔE_f (eV per atom): -0.70

---

Record 10
# PmBiSbAu

An optimized crystal structure of PmBiSbAu (PBE-GGA, Alexandria via LeMat-Bulk).

a = 7.5620 Å, b = 7.5620 Å, c = 7.5620 Å
α = 90.00°, β = 90.00°, γ = 90.00°
Space group F-43m (No. 216)
Asymmetric unit:
Pm1 0.0000 0.0000 0.0000
Bi1 0.0000 0.0000 0.5000
Sb1 0.2500 0.2500 0.2500
Au1 0.2500 0.2500 0.7500

Formation energy (no corrections) (eV/atom): -0.410

---

Record 11
# PmSi2Bi2Au7

An optimized crystal structure of PmSi2Bi2Au7 (PBE-GGA, Alexandria via LeMat-Bulk).

a = 6.1819 Å, b = 6.8122 Å, c = 12.9563 Å
α = 90.00°, β = 91.86°, γ = 90.00°
Space group C2/m (No. 12)
Asymmetric unit:
Pm1 0.0000 0.0000 0.0000
Si1 0.1253 0.5000 0.7657
Bi1 0.1507 0.0000 0.6218
Au1 0.0000 0.5000 0.0000
Au2 0.1599 0.5000 0.5811
Au3 0.1960 0.2908 0.1684

Formation energy (no corrections) (eV/atom): -0.178

---

Record 12
# TbPmBiAu

An optimized crystal structure of TbPmBiAu (PBE-GGA, Alexandria via LeMat-Bulk).

a = 7.5685 Å, b = 7.5685 Å, c = 7.5685 Å
α = 90.00°, β = 90.00°, γ = 90.00°
Space group F-43m (No. 216)
Asymmetric unit:
Tb1 0.0000 0.0000 0.0000
Pm1 0.0000 0.0000 0.5000
Bi1 0.2500 0.2500 0.2500
Au1 0.2500 0.2500 0.7500

ΔE_f (eV per atom): -0.67

---

Record 13
# PmThBiAu

An optimized crystal structure of PmThBiAu (PBE-GGA, Alexandria via LeMat-Bulk).

a = 7.6627 Å, b = 7.6627 Å, c = 7.6627 Å
α = 90.00°, β = 90.00°, γ = 90.00°
Space group F-43m (No. 216)
Asymmetric unit:
Pm1 0.0000 0.0000 0.0000
Th1 0.0000 0.0000 0.5000
Bi1 0.2500 0.2500 0.7500
Au1 0.2500 0.2500 0.2500

ΔE_f (eV per atom): -0.54

---

Record 14
# PmTiBiAu

An optimized crystal structure of PmTiBiAu (PBE-GGA, Alexandria via LeMat-Bulk).

a = 7.2921 Å, b = 7.2921 Å, c = 7.2921 Å
α = 90.00°, β = 90.00°, γ = 90.00°
Space group F-43m (No. 216)
Asymmetric unit:
Pm1 0.0000 0.0000 0.0000
Ti1 0.0000 0.0000 0.5000
Bi1 0.2500 0.2500 0.2500
Au1 0.2500 0.2500 0.7500

ΔE_f (eV per atom): -0.33

---

Record 15
# PmTlBiAu

An optimized crystal structure of PmTlBiAu (PBE-GGA, Alexandria via LeMat-Bulk).

a = 7.6778 Å, b = 7.6778 Å, c = 7.6778 Å
α = 90.00°, β = 90.00°, γ = 90.00°
Space group F-43m (No. 216)
Asymmetric unit:
Pm1 0.0000 0.0000 0.0000
Tl1 0.0000 0.0000 0.5000
Bi1 0.2500 0.2500 0.7500
Au1 0.2500 0.2500 0.2500

ΔE_f (eV per atom): -0.36

---

Record 16
# PmTmBiAu

An optimized crystal structure of PmTmBiAu (PBE-GGA, Alexandria via LeMat-Bulk).

a = 7.5310 Å, b = 7.5310 Å, c = 7.5310 Å
α = 90.00°, β = 90.00°, γ = 90.00°
Space group F-43m (No. 216)
Asymmetric unit:
Pm1 0.0000 0.0000 0.0000
Tm1 0.0000 0.0000 0.5000
Bi1 0.2500 0.2500 0.7500
Au1 0.2500 0.2500 0.2500

ΔE_f (eV per atom): -0.63

---

Record 17
# PmYBiAu

An optimized crystal structure of PmYBiAu (PBE-GGA, Alexandria via LeMat-Bulk).

a = 7.5661 Å, b = 7.5661 Å, c = 7.5661 Å
α = 90.00°, β = 90.00°, γ = 90.00°
Space group F-43m (No. 216)
Asymmetric unit:
Pm1 0.0000 0.0000 0.0000
Y1 0.0000 0.0000 0.5000
Bi1 0.2500 0.2500 0.2500
Au1 0.2500 0.2500 0.7500

ΔE_f (eV per atom): -0.68

---

Record 18
# PmZnBiAu

An optimized crystal structure of PmZnBiAu (PBE-GGA, Alexandria via LeMat-Bulk).

a = 7.2779 Å, b = 7.2779 Å, c = 7.2779 Å
α = 90.00°, β = 90.00°, γ = 90.00°
Space group F-43m (No. 216)
Asymmetric unit:
Pm1 0.0000 0.0000 0.0000
Zn1 0.2500 0.2500 0.7500
Bi1 0.0000 0.0000 0.5000
Au1 0.2500 0.2500 0.2500

ΔE_f (eV per atom): -0.41

---

Record 19
# PmZrBiAu

An optimized crystal structure of PmZrBiAu (PBE-GGA, Alexandria via LeMat-Bulk).

a = 7.3618 Å, b = 7.3618 Å, c = 7.3618 Å
α = 90.00°, β = 90.00°, γ = 90.00°
Space group F-43m (No. 216)
Asymmetric unit:
Pm1 0.0000 0.0000 0.0000
Zr1 0.0000 0.0000 0.5000
Bi1 0.2500 0.2500 0.2500
Au1 0.2500 0.2500 0.7500

ΔE_f (eV per atom): -0.42

---

Record 20
# Pr2BiAu4

An optimized crystal structure of Pr2BiAu4 (PBE-GGA, Alexandria via LeMat-Bulk).

a = 4.9645 Å, b = 4.9645 Å, c = 26.5359 Å
α = 90.00°, β = 90.00°, γ = 120.00°
Space group R-3m (No. 166, hexagonal axes)
Asymmetric unit:
Pr1 0.0000 0.0000 0.2479
Bi1 0.0000 0.0000 0.0000
Au1 0.0000 0.0000 0.1339
Au2 0.0000 0.0000 0.3768

ΔE_f (eV per atom): -0.55